[1]
KI2N2 | PBE | optimized geometry

The structure in CIF format:
```
data_KI2N2
_space_group_name_H-M_alt 'P 4/m m m'
_space_group_IT_number 123
_space_group_name_Hall '-P 4 2'
_cell_length_a 5.2626
_cell_length_b 5.2626
_cell_length_c 7.0306
_cell_angle_alpha 90.00
_cell_angle_beta 90.00
_cell_angle_gamma 90.00
loop_
_atom_site_label
_atom_site_type_symbol
_atom_site_fract_x
_atom_site_fract_y
_atom_site_fract_z
_atom_site_occupancy
K1 K 0.0000 0.0000 0.0000 1
I1 I 0.0000 0.0000 0.5000 1
I2 I 0.5000 0.5000 0.5000 1
N1 N 0.0000 0.5000 0.0000 1
```

Energy above the most stable polymorph in this dataset = 202.6 kJ/mol of atoms
Uncorrected formation energy = 1.69 eV per atom
Magnetization = 5.6 μB/cell
Total DFT energy (no corrections) = -2.476 eV/atom

[2]
LaNdAgAu | PBE | optimized geometry

The structure in CIF format:
```
data_LaNdAgAu
_space_group_name_H-M_alt 'A m m 2'
_space_group_IT_number 38
_cell_length_a 4.8844
_cell_length_b 3.9531
_cell_length_c 11.4472
_cell_angle_alpha 90.00
_cell_angle_beta 90.00
_cell_angle_gamma 90.00
loop_
_space_group_symop_operation_xyz
'x,y,z'
'-x,-y,z'
'-x,y,z'
'x,-y,z'
'x,y+1/2,z+1/2'
'-x,-y+1/2,z+1/2'
'-x,y+1/2,z+1/2'
'x,-y+1/2,z+1/2'
loop_
_atom_site_label
_atom_site_type_symbol
_atom_site_fract_x
_atom_site_fract_y
_atom_site_fract_z
_atom_site_occupancy
La1 La 0.0000 0.0000 0.0000 1
Nd1 Nd 0.5000 0.0000 0.2769 1
Ag1 Ag 0.5000 0.0000 0.5581 1
Au1 Au 0.0000 0.0000 0.7209 1
```

Energy above the most stable polymorph in this dataset = 0.0 kJ/mol of atoms
Magnetization = 0.0 μB/cell
Total DFT energy (no corrections) = -4.483 eV/atom
ΔH_f (0 K) = -0.5266 eV/atom

[3]
Cu3SbPt | PBE | optimized geometry

The structure in CIF format:
```
data_Cu3SbPt
_space_group_name_H-M_alt 'P m -3 m'
_space_group_IT_number 221
_space_group_name_Hall '-P 4 2 3'
_cell_length_a 4.6926
_cell_length_b 4.6926
_cell_length_c 4.6926
_cell_angle_alpha 90.00
_cell_angle_beta 90.00
_cell_angle_gamma 90.00
loop_
_atom_site_label
_atom_site_type_symbol
_atom_site_fract_x
_atom_site_fract_y
_atom_site_fract_z
_atom_site_occupancy
Cu1 Cu 0.0000 0.0000 0.5000 1
Sb1 Sb 0.5000 0.5000 0.5000 1
Pt1 Pt 0.0000 0.0000 0.0000 1
```

Energy above the most stable polymorph in this dataset = 0.0 kJ/mol of atoms
Uncorrected formation energy = 0.68 eV per atom
Magnetization = 0.0 μB/cell
Total DFT energy (no corrections) = -3.812 eV/atom

What did the third record say?
Cu3SbPt | PBE | optimized geometry

The structure in CIF format:
```
data_Cu3SbPt
_space_group_name_H-M_alt 'P m -3 m'
_space_group_IT_number 221
_space_group_name_Hall '-P 4 2 3'
_cell_length_a 4.6926
_cell_length_b 4.6926
_cell_length_c 4.6926
_cell_angle_alpha 90.00
_cell_angle_beta 90.00
_cell_angle_gamma 90.00
loop_
_atom_site_label
_atom_site_type_symbol
_atom_site_fract_x
_atom_site_fract_y
_atom_site_fract_z
_atom_site_occupancy
Cu1 Cu 0.0000 0.0000 0.5000 1
Sb1 Sb 0.5000 0.5000 0.5000 1
Pt1 Pt 0.0000 0.0000 0.0000 1
```

Energy above the most stable polymorph in this dataset = 0.0 kJ/mol of atoms
Uncorrected formation energy = 0.68 eV per atom
Magnetization = 0.0 μB/cell
Total DFT energy (no corrections) = -3.812 eV/atom